This record from Alexandria describes crystalline Rb2TlI6N at its relaxed geometry. The functional is PBE-GGA.

Cell lengths 8.2149, 8.2149, 8.1958 Å; angles 59.92, 59.92, 90.00 degrees
Fractional positions:
1 I 0.7313 0.7313 0.5374
2 I 0.7242 0.7242 0.0000
3 I 0.2758 0.2758 0.0000
4 I 0.7242 0.2758 0.0000
5 I 0.2758 0.7242 0.0000
6 I 0.2687 0.2687 0.4626
7 Rb 0.2500 0.7500 0.5000
8 Rb 0.7500 0.2500 0.5000
9 N 0.5000 0.5000 0.0000
10 Tl 0.0000 0.0000 0.0000

Summary:
ΔE_f (raw) = -2.51 eV per formula unit
energy = -24.43 eV for the cell shown

***

This record from Alexandria describes crystalline YCd2Re at its relaxed geometry. The functional is PBE-GGA.

Cell lengths 10.5981, 10.5981, 10.5981 Å; angles 16.29, 16.29, 16.29 degrees
Fractional positions:
1 Cd 0.5074 0.5074 0.5074
2 Cd 0.9926 0.9926 0.9926
3 Y 0.7500 0.7500 0.7500
4 Re 0.2500 0.2500 0.2500

Summary:
formation enthalpy at 0 K = 0.482 eV per atom
relative energy among the computed polymorphs = 242 meV/atom
energy = -18.81 eV for the cell shown

***

This record from Alexandria describes crystalline Ba2AlCo at its relaxed geometry. The functional is PBE-GGA.

Cell lengths 4.3275, 4.3275, 9.2440 Å; angles 76.46, 76.46, 59.96 degrees
Fractional positions:
1 Al 0.2082 0.2082 0.3754
2 Ba 0.9601 0.9601 0.1202
3 Ba 0.7900 0.7900 0.6304
4 Co 0.5418 0.5418 0.3741

Summary:
formation enthalpy at 0 K = 0.012 eV per atom
energy = -14.64 eV for the cell shown

***

This record from Alexandria describes crystalline Tb6YSc4 at its relaxed geometry. The functional is PBE-GGA.

Cell lengths 6.7782, 6.7782, 8.6997 Å; angles 112.93, 112.93, 90.00 degrees
Fractional positions:
1 Sc 0.9401 0.9401 0.1867
2 Sc 0.2466 0.2466 0.1867
3 Sc 0.7534 0.0599 0.8133
4 Sc 0.0599 0.7534 0.8133
5 Tb 0.8930 0.4838 0.3768
6 Tb 0.4838 0.8930 0.3768
7 Tb 0.5162 0.5162 0.6232
8 Tb 0.0000 0.5000 0.0000
9 Tb 0.1070 0.1070 0.6232
10 Tb 0.5000 0.0000 0.0000
11 Y 0.5000 0.5000 0.0000

Summary:
formation enthalpy at 0 K = 0.329 eV per atom
energy = -55.95 eV for the cell shown

***

Repeat the first record exactly.
This record from Alexandria describes crystalline Rb2TlI6N at its relaxed geometry. The functional is PBE-GGA.

Cell lengths 8.2149, 8.2149, 8.1958 Å; angles 59.92, 59.92, 90.00 degrees
Fractional positions:
1 I 0.7313 0.7313 0.5374
2 I 0.7242 0.7242 0.0000
3 I 0.2758 0.2758 0.0000
4 I 0.7242 0.2758 0.0000
5 I 0.2758 0.7242 0.0000
6 I 0.2687 0.2687 0.4626
7 Rb 0.2500 0.7500 0.5000
8 Rb 0.7500 0.2500 0.5000
9 N 0.5000 0.5000 0.0000
10 Tl 0.0000 0.0000 0.0000

Summary:
ΔE_f (raw) = -2.51 eV per formula unit
energy = -24.43 eV for the cell shown

***

Repeat the first record exactly.
This record from Alexandria describes crystalline Rb2TlI6N at its relaxed geometry. The functional is PBE-GGA.

Cell lengths 8.2149, 8.2149, 8.1958 Å; angles 59.92, 59.92, 90.00 degrees
Fractional positions:
1 I 0.7313 0.7313 0.5374
2 I 0.7242 0.7242 0.0000
3 I 0.2758 0.2758 0.0000
4 I 0.7242 0.2758 0.0000
5 I 0.2758 0.7242 0.0000
6 I 0.2687 0.2687 0.4626
7 Rb 0.2500 0.7500 0.5000
8 Rb 0.7500 0.2500 0.5000
9 N 0.5000 0.5000 0.0000
10 Tl 0.0000 0.0000 0.0000

Summary:
ΔE_f (raw) = -2.51 eV per formula unit
energy = -24.43 eV for the cell shown

***

- Which value of energy does entry 2 give?
  -18.81 eV for the cell shown